No. 1
4
Lattice="-1.5233 2.2367 4.6341 1.5233 -2.2367 4.6341 1.5233 2.2367 -4.6341" Properties=species:S:1:pos:R:3 comment="LiMg2Ni (meta-GGA SCAN, PBEsol geometry)" energy_ev_per_cell=-28.67 crystal_system=orthorhombic rho_g_cm3=3.00 pbc="T T T"
Li 0.0000 0.0000 0.0000
Mg 1.5233 0.0000 2.5982
Mg 0.0000 0.0000 5.2012
Ni 0.0000 2.2367 2.6500

No. 2
31
Lattice="4.9144 -5.7232 0.0000 4.9144 5.7232 0.0000 -1.6141 0.0000 4.6169" Properties=species:S:1:pos:R:3 comment="Li7MgNi7O16 (meta-GGA SCAN, PBEsol geometry)" e_above_lowest_polymorph_ev_per_atom=0.0508 crystal_system=monoclinic formation_energy_uncorrected_ev_per_fu=-51.02 rho_g_cm3=4.73 pbc="T T T"
Li 0.0000 0.0000 0.0000
Li 2.5353 1.3248 0.1597
Li 0.8780 -1.4825 4.6165
Li 4.9144 -0.0076 0.0000
Li 5.6794 1.3248 4.4573
Li 4.9144 -2.9650 0.0000
Li 7.3367 -1.4825 0.0005
Mg 4.9144 2.7002 0.0000
Ni 1.6721 2.7876 2.2926
Ni 4.1073 4.2499 2.3085
Ni 1.6936 -0.0422 2.3087
Ni 6.5425 2.7876 2.3243
Ni 4.1073 -1.4782 2.3085
Ni 6.5210 -0.0422 2.3083
Ni 4.1073 -4.3403 2.3085
O 2.5432 4.2327 3.3662
O 0.8927 1.3536 1.2126
O 3.2482 2.9905 1.2268
O 0.0394 -0.0415 3.2675
O 2.3062 1.4141 3.4207
O 5.6714 4.2327 1.2508
O 4.9665 2.9905 3.3902
O 3.2190 -0.2218 1.2608
O 2.4791 -1.5204 3.3218
O 5.9084 1.4141 1.1962
O 3.2894 -2.9183 1.3384
O 4.9957 -0.2218 3.3562
O 7.3219 1.3536 3.4043
O 5.7355 -1.5204 1.2951
O 4.9252 -2.9183 3.2786
O 8.1753 -0.0415 1.3494

No. 3
31
Lattice="4.9680 0.0000 0.0000 0.0044 5.7314 0.0000 1.7534 2.7657 9.2831" Properties=species:S:1:pos:R:3 comment="Li7MgNi7O16 (meta-GGA SCAN, PBEsol geometry)" e_above_lowest_polymorph_ev_per_atom=0.0000 crystal_system=triclinic formation_energy_uncorrected_ev_per_fu=-52.59 rho_g_cm3=4.65 pbc="T T T"
Li 0.0000 0.0000 0.0000
Li 2.4687 4.2748 6.9856
Li 2.5250 7.0812 7.0369
Li 3.3498 5.6470 4.6728
Li 3.3760 2.8501 4.6103
Li 4.2008 1.4159 2.2462
Li 4.2571 4.2224 2.2975
Mg 0.8767 1.3829 4.6415
Ni 0.8789 4.2486 4.6415
Ni 1.7181 2.8079 2.3199
Ni 1.7698 5.6571 2.3380
Ni 2.4489 1.4358 0.0004
Ni 4.2769 7.0614 9.2827
Ni 4.9560 2.8401 6.9451
Ni 5.0077 5.6893 6.9632
O 1.5115 2.9065 5.8269
O 1.5361 5.5972 5.8196
O 1.0188 1.2325 1.2395
O 1.0926 4.2694 1.2642
O 2.4896 1.3677 3.3645
O 2.5195 4.3118 3.4226
O 3.4925 2.8786 8.1593
O 3.5842 5.7602 8.1469
O 3.1416 2.7370 1.1362
O 3.2333 5.6185 1.1238
O 4.2063 4.1854 5.8605
O 4.2362 7.1294 5.9186
O 5.6332 4.2277 8.0189
O 5.7070 7.2647 8.0436
O 5.1897 2.8999 3.4635
O 5.2143 5.5906 3.4562

No. 4
30
Lattice="4.8879 0.0000 0.0000 0.8712 4.9293 0.0000 0.8454 1.7143 10.9213" Properties=species:S:1:pos:R:3 comment="Li6MgNi7O16 (meta-GGA SCAN, PBEsol geometry)" crystal_system=triclinic formation_energy_uncorrected_ev_per_fu=-48.51 rho_g_cm3=4.62 pbc="T T T"
Li 1.5673 1.4394 3.3293
Li 1.6808 2.2666 0.6799
Li 2.5552 5.5496 6.2763
Li 4.0493 1.0940 4.6450
Li 4.9237 4.3770 10.2415
Li 5.0372 5.2042 7.5920
Mg 0.8583 3.3218 5.4607
Ni 0.0000 0.0000 0.0000
Ni 0.8850 2.5266 8.1926
Ni 3.2830 3.7052 4.0899
Ni 3.2826 2.1391 9.5499
Ni 3.3219 4.5045 1.3715
Ni 3.3216 2.9384 6.8315
Ni 5.7196 4.1170 2.7288
O 1.6531 3.0364 9.9068
O 1.7141 4.7750 4.3208
O 0.8561 0.4994 1.6763
O 1.7337 3.8818 7.1887
O 2.3765 3.1068 2.5205
O 3.3639 5.6298 10.7365
O 2.5249 1.6068 7.9046
O 2.5851 2.3012 5.1755
O 4.0194 4.3424 5.7459
O 4.0796 5.0368 3.0168
O 3.2407 1.0138 0.1848
O 4.2281 3.5368 8.4009
O 4.8708 2.7618 3.7327
O 5.7484 6.1442 9.2451
O 4.8905 1.8686 6.6006
O 4.9514 3.6072 1.0145

No. 5
8
Lattice="4.1788 0.0000 0.0000 0.0000 4.1788 0.0000 0.0000 0.0000 4.1788" Properties=species:S:1:pos:R:3 comment="LiMg3O4 (meta-GGA SCAN, PBEsol geometry)" crystal_system=cubic formation_energy_uncorrected_ev_per_fu=-20.44 rho_g_cm3=3.27 pbc="T T T"
Li 0.0000 0.0000 0.0000
Mg 0.0000 2.0894 2.0894
Mg 2.0894 0.0000 2.0894
Mg 2.0894 2.0894 0.0000
O 0.0000 0.0000 2.0894
O 0.0000 2.0894 0.0000
O 2.0894 0.0000 0.0000
O 2.0894 2.0894 2.0894

No. 6
64
Lattice="8.4854 0.0000 0.0000 0.0000 8.4854 0.0000 0.0000 0.0000 8.4758" Properties=species:S:1:pos:R:3 comment="LiMg30SbO32 (meta-GGA SCAN, PBEsol geometry)" crystal_system=tetragonal formation_energy_uncorrected_ev_per_fu=-184.77 rho_g_cm3=3.73 pbc="T T T"
Li 0.0000 0.0000 0.0000
Mg 0.0000 2.1442 2.0368
Mg 0.0000 2.1442 6.4389
Mg 0.0000 4.2427 0.0000
Mg 0.0000 4.2427 4.2379
Mg 0.0000 6.3412 2.0368
Mg 0.0000 6.3412 6.4389
Mg 2.1013 2.1013 0.0000
Mg 2.1013 6.3841 0.0000
Mg 2.1221 4.2427 2.1035
Mg 2.1221 4.2427 6.3722
Mg 2.1442 0.0000 2.0368
Mg 2.1442 0.0000 6.4389
Mg 2.1675 2.1675 4.2379
Mg 2.1675 6.3179 4.2379
Mg 4.2427 0.0000 0.0000
Mg 4.2427 0.0000 4.2379
Mg 4.2427 2.1221 2.1035
Mg 4.2427 2.1221 6.3722
Mg 4.2427 4.2427 0.0000
Mg 4.2427 4.2427 4.2379
Mg 4.2427 6.3633 2.1035
Mg 4.2427 6.3633 6.3722
Mg 6.3179 2.1675 4.2379
Mg 6.3179 6.3179 4.2379
Mg 6.3412 0.0000 2.0368
Mg 6.3412 0.0000 6.4389
Mg 6.3633 4.2427 2.1035
Mg 6.3633 4.2427 6.3722
Mg 6.3841 2.1013 0.0000
Mg 6.3841 6.3841 0.0000
Sb 0.0000 0.0000 4.2379
O 0.0000 0.0000 2.0181
O 0.0000 0.0000 6.4577
O 0.0000 2.1948 0.0000
O 0.0000 2.2297 4.2379
O 0.0000 4.2427 2.1212
O 0.0000 4.2427 6.3546
O 0.0000 6.2558 4.2379
O 0.0000 6.2906 0.0000
O 2.1157 2.1157 2.1298
O 2.1157 2.1157 6.3460
O 2.1157 6.3698 2.1298
O 2.1157 6.3698 6.3460
O 2.1344 4.2427 0.0000
O 2.1365 4.2427 4.2379
O 2.1948 0.0000 0.0000
O 2.2297 0.0000 4.2379
O 4.2427 0.0000 2.1212
O 4.2427 0.0000 6.3546
O 4.2427 2.1344 0.0000
O 4.2427 2.1365 4.2379
O 4.2427 4.2427 2.1228
O 4.2427 4.2427 6.3530
O 4.2427 6.3511 0.0000
O 4.2427 6.3490 4.2379
O 6.2558 0.0000 4.2379
O 6.2906 0.0000 0.0000
O 6.3511 4.2427 0.0000
O 6.3490 4.2427 4.2379
O 6.3698 2.1157 2.1298
O 6.3698 2.1157 6.3460
O 6.3698 6.3698 2.1298
O 6.3698 6.3698 6.3460